1.
The following is a PBE-GGA calculation of Na3I3N2 after structural relaxation, from the Alexandria database.

Unit cell a=11.890 b=11.890 c=14.074 alpha=90.00 beta=90.00 gamma=158.10
Fractional coordinates of all 16 atoms:
1 Na 0.062 0.938 0.750
2 Na 0.406 0.594 0.585
3 Na 0.406 0.594 0.915
4 Na 0.594 0.406 0.085
5 Na 0.594 0.406 0.415
6 Na 0.938 0.062 0.250
7 I 0.070 0.930 0.250
8 I 0.111 0.889 0.557
9 I 0.111 0.889 0.943
10 I 0.889 0.111 0.057
11 I 0.889 0.111 0.443
12 I 0.930 0.070 0.750
13 N 0.252 0.748 0.210
14 N 0.252 0.748 0.290
15 N 0.748 0.252 0.710
16 N 0.748 0.252 0.790

Results
The formation energy (no corrections) comes out at -638 kJ/mol of formula units. The symmetry is Cmcm (63).

2.
The following is a PBE-GGA calculation of Ba3CdPb3 after structural relaxation, from the Alexandria database.

Unit cell a=6.901 b=6.901 c=17.133 alpha=109.19 beta=109.19 gamma=45.75
Fractional coordinates of all 14 atoms:
1 Ba 0.039 0.039 0.385
2 Ba 0.096 0.096 0.922
3 Ba 0.242 0.242 0.229
4 Ba 0.758 0.758 0.771
5 Ba 0.904 0.904 0.078
6 Ba 0.961 0.961 0.615
7 Cd 0.256 0.256 0.608
8 Cd 0.744 0.744 0.392
9 Pb 0.363 0.363 0.464
10 Pb 0.385 0.385 0.924
11 Pb 0.465 0.465 0.768
12 Pb 0.535 0.535 0.232
13 Pb 0.615 0.615 0.076
14 Pb 0.637 0.637 0.536

Results
The symmetry is C2/m (12). The calculation puts the formation energy from the elements at -12.3 kcal/mol of atoms.

| no. | calculated volume (Å³/cell) |
| --- | --- |
| 1 | 742 |
| 2 | 546 |